Entry 1:
Computed, not measured: Tb2GaSi4Pt3 after structural relaxation at the GGA-PBE level of DFT.

Cell: 4.146 4.146 10.207 Å, 90.00 90.00 90.00°
Space group P-4m2 (No. 115)
Unique sites:
Tb  0.000  0.500  0.248 (multiplicity 2)
Ga  0.000  0.000  0.500 (multiplicity 1)
Si  0.000  0.000  0.000 (multiplicity 1)
Si  0.000  0.500  0.642 (multiplicity 2)
Si  0.500  0.500  0.000 (multiplicity 1)
Pt  0.000  0.500  0.875 (multiplicity 2)
Pt  0.500  0.500  0.500 (multiplicity 1)

Calculated values
E_tot	-6.175	eV/atom
raw formation energy	-0.965	eV per atom
M_tot	0.00	μB per cell
DOS at the Fermi energy	3.6	states/eV per cell
mass density	10.27	Mg/m³

---

Entry 2:
Computed, not measured: Tb2GaSi3Pt4 after structural relaxation at the GGA-PBE level of DFT.

Cell: 4.218 4.218 9.998 Å, 90.00 90.00 90.00°
Space group P-4m2 (No. 115)
Unique sites:
Tb  0.000  0.500  0.247 (multiplicity 2)
Ga  0.500  0.500  0.000 (multiplicity 1)
Si  0.000  0.000  0.000 (multiplicity 1)
Si  0.000  0.500  0.630 (multiplicity 2)
Pt  0.000  0.000  0.500 (multiplicity 1)
Pt  0.000  0.500  0.865 (multiplicity 2)
Pt  0.500  0.500  0.500 (multiplicity 1)

Calculated values
E_tot	-6.355	eV/atom
raw formation energy	-1.083	eV per atom
M_tot	0.00	μB per cell
DOS at the Fermi energy	5.1	states/eV per cell
mass density	11.69	Mg/m³

---

Entry 3:
Computed, not measured: Th2GaSi3Pt4 after structural relaxation at the GGA-PBE level of DFT.

Cell: 4.294 4.294 9.985 Å, 90.00 90.00 90.00°
Space group P-4m2 (No. 115)
Unique sites:
Th  0.000  0.500  0.248 (multiplicity 2)
Ga  0.000  0.000  0.500 (multiplicity 1)
Si  0.000  0.500  0.870 (multiplicity 2)
Si  0.500  0.500  0.500 (multiplicity 1)
Pt  0.000  0.000  0.000 (multiplicity 1)
Pt  0.000  0.500  0.630 (multiplicity 2)
Pt  0.500  0.500  0.000 (multiplicity 1)

Calculated values
E_tot	-6.934	eV/atom
raw formation energy	-1.104	eV per atom
M_tot	0.00	μB per cell
DOS at the Fermi energy	5.0	states/eV per cell
mass density	12.61	Mg/m³

---

Entry 4:
Computed, not measured: Th2GaSi4Pt3 after structural relaxation at the GGA-PBE level of DFT.

Cell: 4.322 4.322 9.764 Å, 90.00 90.00 90.00°
Space group P-4m2 (No. 115)
Unique sites:
Th  0.000  0.500  0.248 (multiplicity 2)
Ga  0.000  0.000  0.500 (multiplicity 1)
Si  0.000  0.000  0.000 (multiplicity 1)
Si  0.000  0.500  0.634 (multiplicity 2)
Si  0.500  0.500  0.000 (multiplicity 1)
Pt  0.000  0.500  0.881 (multiplicity 2)
Pt  0.500  0.500  0.500 (multiplicity 1)

Calculated values
E_tot	-6.756	eV/atom
raw formation energy	-0.988	eV per atom
M_tot	0.00	μB per cell
DOS at the Fermi energy	3.3	states/eV per cell
mass density	11.21	Mg/m³

---

Entry 5:
Computed, not measured: Th2Ga3SiPt4 after structural relaxation at the GGA-PBE level of DFT.

Cell: 4.341 4.341 10.118 Å, 90.00 90.00 90.00°
Space group P-4m2 (No. 115)
Unique sites:
Th  0.000  0.500  0.250 (multiplicity 2)
Ga  0.000  0.000  0.000 (multiplicity 1)
Ga  0.000  0.500  0.634 (multiplicity 2)
Si  0.500  0.500  0.000 (multiplicity 1)
Pt  0.000  0.000  0.500 (multiplicity 1)
Pt  0.000  0.500  0.879 (multiplicity 2)
Pt  0.500  0.500  0.500 (multiplicity 1)

Calculated values
E_tot	-6.339	eV/atom
raw formation energy	-0.988	eV per atom
M_tot	0.00	μB per cell
DOS at the Fermi energy	7.0	states/eV per cell
mass density	12.91	Mg/m³

---

Entry 6:
Computed, not measured: ThGaSi2Pt7 after structural relaxation at the GGA-PBE level of DFT.

Cell: 4.126 4.126 28.046 Å, 90.00 90.00 90.00°
Space group I-4m2 (No. 119)
Unique sites:
Th  0.000  0.000  0.000 (multiplicity 2)
Ga  0.000  0.500  0.250 (multiplicity 2)
Si  0.000  0.000  0.375 (multiplicity 4)
Pt  0.000  0.000  0.294 (multiplicity 4)
Pt  0.000  0.000  0.500 (multiplicity 2)
Pt  0.000  0.500  0.080 (multiplicity 4)
Pt  0.000  0.500  0.580 (multiplicity 4)

Calculated values
E_tot	-6.300	eV/atom
raw formation energy	-0.521	eV per atom
M_tot	0.00	μB per cell
DOS at the Fermi energy	6.8	states/eV per cell
mass density	11.99	Mg/m³

---

Entry 7:
Computed, not measured: Tm2GaSiPt6 after structural relaxation at the GGA-PBE level of DFT.

Cell: 5.534 8.596 8.111 Å, 90.00 90.00 90.00°
Space group Pmmn (No. 59, origin choice 2)
Unique sites:
Tm  0.250  0.002  0.235 (multiplicity 4)
Ga  0.250  0.750  0.774 (multiplicity 2)
Si  0.250  0.250  0.745 (multiplicity 2)
Pt  0.000  0.250  0.494 (multiplicity 4)
Pt  0.001  0.750  0.024 (multiplicity 4)
Pt  0.250  0.001  0.615 (multiplicity 4)

Calculated values
E_tot	-6.282	eV/atom
raw formation energy	-0.918	eV per atom
M_tot	0.00	μB per cell
DOS at the Fermi energy	6.2	states/eV per cell
mass density	13.83	Mg/m³

---

Entry 8:
Computed, not measured: Tm2GaSi3Pt4 after structural relaxation at the GGA-PBE level of DFT.

Cell: 4.159 4.159 10.099 Å, 90.00 90.00 90.00°
Space group P-4m2 (No. 115)
Unique sites:
Tm  0.000  0.500  0.249 (multiplicity 2)
Ga  0.500  0.500  0.000 (multiplicity 1)
Si  0.000  0.000  0.000 (multiplicity 1)
Si  0.000  0.500  0.632 (multiplicity 2)
Pt  0.000  0.000  0.500 (multiplicity 1)
Pt  0.000  0.500  0.863 (multiplicity 2)
Pt  0.500  0.500  0.500 (multiplicity 1)

Calculated values
E_tot	-6.286	eV/atom
raw formation energy	-1.045	eV per atom
M_tot	0.00	μB per cell
DOS at the Fermi energy	4.9	states/eV per cell
mass density	12.09	Mg/m³

---

Entry 9:
Computed, not measured: TmGa2Si2Pt7 after structural relaxation at the GGA-PBE level of DFT.

Cell: 5.566 5.550 14.157 Å, 90.00 99.07 90.00°
Space group C2/m (No. 12)
Unique sites:
Tm  0.000  0.000  0.000 (multiplicity 2)
Ga  0.098  0.000  0.409 (multiplicity 4)
Si  0.102  0.500  0.256 (multiplicity 4)
Pt  0.000  0.500  0.000 (multiplicity 2)
Pt  0.133  0.500  0.422 (multiplicity 4)
Pt  0.186  0.250  0.842 (multiplicity 8)

Calculated values
E_tot	-6.000	eV/atom
raw formation energy	-0.695	eV per atom
M_tot	0.00	μB per cell
DOS at the Fermi energy	9.3	states/eV per cell
mass density	13.31	Mg/m³

---

Entry 10:
Computed, not measured: U2GaSi4Pt3 after structural relaxation at the GGA-PBE level of DFT.

Cell: 4.204 4.204 9.932 Å, 90.00 90.00 90.00°
Space group P-4m2 (No. 115)
Unique sites:
U  0.000  0.500  0.248 (multiplicity 2)
Ga  0.000  0.000  0.500 (multiplicity 1)
Si  0.000  0.000  0.000 (multiplicity 1)
Si  0.000  0.500  0.640 (multiplicity 2)
Si  0.500  0.500  0.000 (multiplicity 1)
Pt  0.000  0.500  0.879 (multiplicity 2)
Pt  0.500  0.500  0.500 (multiplicity 1)

Calculated values
E_tot	-7.190	eV/atom
raw formation energy	-0.648	eV per atom
M_tot	4.71	μB per cell
DOS at the Fermi energy	16.0	states/eV per cell
mass density	11.76	Mg/m³

---

Entry 11:
Computed, not measured: GaSiPtW2 after structural relaxation at the GGA-PBE level of DFT.

Cell: 4.540 4.540 4.425 Å, 90.00 90.00 90.00°
Space group P4/mmm (No. 123)
Unique sites:
Ga  0.000  0.000  0.000 (multiplicity 1)
Si  0.500  0.500  0.500 (multiplicity 1)
Pt  0.500  0.500  0.000 (multiplicity 1)
W  0.000  0.500  0.500 (multiplicity 2)

Calculated values
E_tot	-7.113	eV/atom
raw formation energy	0.967	eV per atom
M_tot	0.00	μB per cell
DOS at the Fermi energy	4.1	states/eV per cell
mass density	12.03	Mg/m³

---

Entry 12:
Computed, not measured: Y2GaSiPt6 after structural relaxation at the GGA-PBE level of DFT.

Cell: 9.294 9.294 9.294 Å, 90.00 90.00 90.00°
Space group Fm-3m (No. 225)
Unique sites:
Y  0.250  0.250  0.250 (multiplicity 8)
Ga  0.000  0.000  0.000 (multiplicity 4)
Si  0.000  0.000  0.500 (multiplicity 4)
Pt  0.000  0.000  0.256 (multiplicity 24)

Calculated values
E_tot	-6.316	eV/atom
raw formation energy	-0.554	eV per atom
M_tot	0.00	μB per cell
DOS at the Fermi energy	24.2	states/eV per cell
mass density	11.96	Mg/m³